No. 1
# K2Ta

Crystalline K2Ta at its relaxed geometry (PBE, Alexandria).

Values from the calculation:
magnetic moment = 0.492 Bohr magnetons per cell
formation energy = 1493 meV/atom
symmetry = Immm

a = 6.6067 Å, b = 6.6067 Å, c = 6.6067 Å
α = 155.09°, β = 123.15°, γ = 63.01°
With the nearest neighbours (Å) after each atom.
Sites, in units of the cell vectors:
1 K 0.6641 0.6641 0.0000  2 K 2.85
2 K 0.3359 0.3359 0.0000  2 K 2.85
3 Ta 0.0000 0.0000 0.0000  2 Ta 2.85

---

No. 2
# RbPb4I8

Crystalline RbPb4I8 at its relaxed geometry (PBE, Alexandria).

Values from the calculation:
energy relative to the elements, uncorrected = -0.66 eV/atom
magnetic moment = 0.000 Bohr magnetons per cell
symmetry = F-43m

a = 9.9513 Å, b = 9.9513 Å, c = 9.9513 Å
α = 60.00°, β = 60.00°, γ = 60.00°
With the nearest neighbours (Å) after each atom.
Sites, in units of the cell vectors:
1 Rb 0.7500 0.7500 0.7500  4 I 3.49
2 Pb 0.8871 0.3710 0.3710  6 I 3.29-3.35
3 Pb 0.3710 0.8871 0.3710  6 I 3.29-3.35
4 Pb 0.3710 0.3710 0.8871  6 I 3.29-3.35
5 Pb 0.3710 0.3710 0.3710  6 I 3.29-3.35
6 I 0.5878 0.1374 0.1374  3 Pb 3.29
7 I 0.1374 0.5878 0.1374  3 Pb 3.29
8 I 0.1374 0.1374 0.5878  3 Pb 3.29
9 I 0.1374 0.1374 0.1374  3 Pb 3.29
10 I 0.1797 0.6068 0.6068  3 Pb 3.35, 1 Rb 3.49
11 I 0.6068 0.1797 0.6068  3 Pb 3.35, 1 Rb 3.49
12 I 0.6068 0.6068 0.1797  3 Pb 3.35, 1 Rb 3.49
13 I 0.6068 0.6068 0.6068  3 Pb 3.35, 1 Rb 3.49

---

Results for ρ: 4.26 4.60 (in Mg/m³, following the order of the records).
Results for energy above the most stable polymorph in this dataset: 232 22 (in kJ/mol of formula units, following the order of the records).